Arrangement a

First-principles (PBE) data for ZnP2Cl after structural relaxation, as listed in Alexandria.

POSCAR file:
```
ZnP2Cl
1.0
-5.5340 0.6930 3.6145
-5.0778 -2.9718 3.0910
-3.1283 -1.2090 5.7377
Cl P Zn
1 2 1
Cartesian
-10.3050 -2.6159 9.3324 Cl
-13.4053 -3.4029 12.1400 P
-7.2048 -1.8289 6.5248 P
-3.4350 -0.8720 3.1108 Zn
```

- Space-group type: No. 166
- Calculated volume: 75.8 Å³/f.u.
- Size of the total moment: 0.000 Bohr magnetons per cell

=====

Arrangement b

First-principles (PBE) data for ZnP2Cl after structural relaxation, as listed in Alexandria.

POSCAR file:
```
ZnP2Cl
1.0
-6.0570 0.0770 1.4742
-0.6095 -5.8006 -2.2017
2.0057 3.8899 4.4398
Cl P Zn
1 2 1
Cartesian
-3.1732 0.9982 2.8318 Cl
-0.6152 -0.5282 -0.0671 P
-0.9753 -2.3921 0.9365 P
-3.2303 -2.7735 -0.3525 Zn
```

- Space-group type: No. 44
- Calculated volume: 117.6 Å³/f.u.
- Size of the total moment: 0.000 Bohr magnetons per cell

=====

Arrangement c

First-principles (PBE) data for ZnP2Cl after structural relaxation, as listed in Alexandria.

POSCAR file:
```
ZnP2Cl
1.0
-1.8036 -2.0699 -1.7278
-0.9111 -1.4886 2.7344
-6.6175 5.2300 0.6423
Cl P Zn
1 2 1
Cartesian
-5.5708 1.5508 0.9123 Cl
-1.4844 1.1732 0.1441 P
-2.2934 -1.0395 0.5941 P
-3.2923 2.6020 0.3195 Zn
```

- Space-group type: No. 99
- Calculated volume: 89.0 Å³/f.u.
- Size of the total moment: 0.000 Bohr magnetons per cell

=====

Least stable structure among those shown: arrangement a.